(1)
VASP calculation (PBE-GGA) on a relaxed structure of InGaCu2Te4.

```
8
Lattice="-3.095 3.095 6.203 3.095 -3.095 6.203 3.095 3.095 -6.203" Properties=species:S:1:pos:R:3 pbc="T T T"
Te 4.716 1.400 1.610
Te -1.621 1.696 7.814
Te 1.696 1.621 4.593
Te 1.400 1.474 -1.610
Ga 0.000 3.095 3.102
Cu 3.095 0.000 3.102
Cu 0.000 0.000 0.000
In 0.000 0.000 6.203
```

Computed properties:
SG   I-4, No. 82
Formation energy from raw total energies   -0.276 eV/atom
Volume   237.71 Å³ per cell
VASP energy   -28.7 eV for the cell shown


(2)
VASP calculation (PBE-GGA) on a relaxed structure of Nd2HRh.

```
4
Lattice="4.039 0.000 0.000 2.019 3.498 0.000 2.019 1.166 6.196" Properties=species:S:1:pos:R:3 pbc="T T T"
Nd 6.058 3.498 4.568
Nd 2.019 1.166 1.628
H 4.039 2.332 3.098
Rh 0.000 0.000 0.000
```

Computed properties:
SG   R-3m, No. 166
Volume   87.54 Å³ per cell
VASP energy   -22.2 eV for the cell shown
E above lowest polymorph   79.5 meV/atom